Record 1
This record from the Alexandria database describes BeAs2HO6 after structural relaxation. The functional is PBE-GGA.

Summary:
- Crystal system: monoclinic
- E_tot: -5.89 eV/atom
- SG: No. 15

a = 5.0349 Å, b = 8.2315 Å, c = 8.2315 Å
α = 89.21°, β = 63.01°, γ = 63.01°
Last column: nearest neighbours and their distance in Å.
Positions (direct):
1 H 0.7500 0.6583 0.3417  2 O 1.24
2 H 0.2500 0.3417 0.6583  2 O 1.24
3 Be 0.2500 0.7364 0.2636  4 O 1.60-1.74
4 Be 0.7500 0.2636 0.7364  4 O 1.60-1.74
5 O 0.4270 0.3359 0.9447  1 Be 1.60, 1 As 1.71
6 O 0.9270 0.9447 0.3359  1 Be 1.60, 1 As 1.71
7 O 0.5553 0.2933 0.6017  1 H 1.24
8 O 0.7309 0.2916 0.2038  2 As 1.79-1.85
9 O 0.2309 0.2038 0.2916  2 As 1.79-1.85
10 O 0.0730 0.0553 0.6641  1 Be 1.60, 1 As 1.71
11 O 0.9447 0.3983 0.7067  1 H 1.24
12 O 0.5730 0.6641 0.0553  1 Be 1.60, 1 As 1.71
13 O 0.2691 0.7084 0.7962  2 As 1.79-1.85
14 O 0.4447 0.7067 0.3983  1 H 1.24
15 O 0.7691 0.7962 0.7084  2 As 1.79-1.85
16 O 0.0553 0.6017 0.2933  1 H 1.24
17 As 0.6386 0.6409 0.8321  4 O 1.71-1.85
18 As 0.3614 0.3591 0.1679  4 O 1.71-1.85
19 As 0.1386 0.8321 0.6409  4 O 1.71-1.85
20 As 0.8614 0.1679 0.3591  4 O 1.71-1.85

=====

Record 2
This record from the Alexandria database describes BeAsH2Pd after structural relaxation. The functional is PBE-GGA.

Summary:
- Crystal system: tetragonal
- E_tot: -3.73 eV/atom
- SG: No. 123

a = 3.4150 Å, b = 4.8331 Å, c = 3.4150 Å
α = 90.00°, β = 90.00°, γ = 90.00°
Last column: nearest neighbours and their distance in Å.
Positions (direct):
1 H 0.0000 0.0000 0.5000  2 Pd 1.71
2 H 0.5000 0.0000 0.0000  2 Pd 1.71
3 Be 0.0000 0.5000 0.0000  4 As 2.41, 2 Pd 2.42
4 As 0.5000 0.5000 0.5000  4 Be 2.41
5 Pd 0.0000 0.0000 0.0000  4 H 1.71

=====

Record 3
This record from the Alexandria database describes BeAs2HPt after structural relaxation. The functional is PBE-GGA.

Summary:
- Crystal system: tetragonal
- E_tot: -3.68 eV/atom
- SG: No. 123

a = 4.3559 Å, b = 4.3163 Å, c = 4.3559 Å
α = 90.00°, β = 90.00°, γ = 90.00°
Last column: nearest neighbours and their distance in Å.
Positions (direct):
1 Pt 0.0000 0.5000 0.0000  2 Be 2.16
2 Be 0.0000 0.0000 0.0000  2 Pt 2.16, 4 As 2.18
3 As 0.0000 0.0000 0.5000  2 Be 2.18
4 As 0.5000 0.0000 0.0000  2 Be 2.18
5 H 0.5000 0.5000 0.5000  8 As 3.07, 4 Pt 3.08